# YZrRu2

Crystalline YZrRu2 at its relaxed geometry (PBE-GGA, Alexandria).

* DOS(E_F): 5.11 states/eV/f.u.
* formation energy: 119 meV/atom
* size of the total moment: 0.0 μB per cell

Structure (CIF):
```
data_YZrRu2
_space_group_name_H-M_alt 'I -4 2 d'
_space_group_IT_number 122
_space_group_name_Hall 'I -4 2bw'
_cell_length_a 7.233
_cell_length_b 7.233
_cell_length_c 6.141
_cell_angle_alpha 90.00
_cell_angle_beta 90.00
_cell_angle_gamma 90.00
loop_
_atom_site_label
_atom_site_type_symbol
_atom_site_fract_x
_atom_site_fract_y
_atom_site_fract_z
Y1 Y 0.000 0.000 0.000
Zr1 Zr 0.000 0.000 0.500
Ru1 Ru 0.230 0.250 0.625
```

# Y5ZrRu6

Crystalline Y5ZrRu6 at its relaxed geometry (PBE-GGA, Alexandria).

* DOS(E_F): 10.71 states/eV/f.u.
* formation energy: -341 meV/atom
* size of the total moment: 0.0 μB per cell

Structure (CIF):
```
data_Y5ZrRu6
_space_group_name_H-M_alt 'C 1 2/m 1'
_space_group_IT_number 12
_space_group_name_Hall '-C 2y'
_cell_length_a 8.292
_cell_length_b 14.321
_cell_length_c 4.806
_cell_angle_alpha 90.00
_cell_angle_beta 125.24
_cell_angle_gamma 90.00
loop_
_atom_site_label
_atom_site_type_symbol
_atom_site_fract_x
_atom_site_fract_y
_atom_site_fract_z
Y1 Y 0.000 0.000 0.000
Y2 Y 0.000 0.166 0.500
Y3 Y 0.000 0.333 0.000
Zr1 Zr 0.000 0.500 0.500
Ru1 Ru 0.237 0.500 0.237
Ru2 Ru 0.243 0.339 0.743
```

# YZr2Ru2

Crystalline YZr2Ru2 at its relaxed geometry (PBE-GGA, Alexandria).

* DOS(E_F): 3.67 states/eV/f.u.
* formation energy: -334 meV/atom
* energy above the most stable polymorph in this dataset: 0.000 eV/atom
* size of the total moment: 0.0 μB per cell

Structure (CIF):
```
data_YZr2Ru2
_space_group_name_H-M_alt 'P 4/m b m'
_space_group_IT_number 127
_space_group_name_Hall '-P 4 2ab'
_cell_length_a 7.865
_cell_length_b 7.865
_cell_length_c 3.280
_cell_angle_alpha 90.00
_cell_angle_beta 90.00
_cell_angle_gamma 90.00
loop_
_atom_site_label
_atom_site_type_symbol
_atom_site_fract_x
_atom_site_fract_y
_atom_site_fract_z
Y1 Y 0.000 0.000 0.000
Zr1 Zr 0.148 0.352 0.500
Ru1 Ru 0.144 0.644 0.000
```

# YZrRu2

Crystalline YZrRu2 at its relaxed geometry (PBE-GGA, Alexandria).

* DOS(E_F): 2.10 states/eV/f.u.
* formation energy: -468 meV/atom
* size of the total moment: 0.0 μB per cell

Structure (CIF):
```
data_YZrRu2
_space_group_name_H-M_alt 'F m -3 m'
_space_group_IT_number 225
_space_group_name_Hall '-F 4 2 3'
_cell_length_a 6.678
_cell_length_b 6.678
_cell_length_c 6.678
_cell_angle_alpha 90.00
_cell_angle_beta 90.00
_cell_angle_gamma 90.00
loop_
_atom_site_label
_atom_site_type_symbol
_atom_site_fract_x
_atom_site_fract_y
_atom_site_fract_z
Y1 Y 0.000 0.000 0.000
Zr1 Zr 0.000 0.000 0.500
Ru1 Ru 0.250 0.250 0.250
```

# Y3ZrRu

Crystalline Y3ZrRu at its relaxed geometry (PBE-GGA, Alexandria).

* DOS(E_F): 9.22 states/eV/f.u.
* formation energy: 1253 meV/atom
* energy above the most stable polymorph in this dataset: 1.047 eV/atom
* size of the total moment: 1.6 μB per cell

Structure (CIF):
```
data_Y3ZrRu
_space_group_name_H-M_alt 'P m -3 m'
_space_group_IT_number 221
_space_group_name_Hall '-P 4 2 3'
_cell_length_a 5.337
_cell_length_b 5.337
_cell_length_c 5.337
_cell_angle_alpha 90.00
_cell_angle_beta 90.00
_cell_angle_gamma 90.00
loop_
_atom_site_label
_atom_site_type_symbol
_atom_site_fract_x
_atom_site_fract_y
_atom_site_fract_z
Y1 Y 0.000 0.000 0.500
Zr1 Zr 0.000 0.000 0.000
Ru1 Ru 0.500 0.500 0.500
```

# Y2ZrRu3

Crystalline Y2ZrRu3 at its relaxed geometry (PBE-GGA, Alexandria).

* DOS(E_F): 4.11 states/eV/f.u.
* formation energy: -419 meV/atom
* size of the total moment: 0.0 μB per cell

Structure (CIF):
```
data_Y2ZrRu3
_space_group_name_H-M_alt 'C m m m'
_space_group_IT_number 65
_space_group_name_Hall '-C 2 2'
_cell_length_a 4.750
_cell_length_b 14.213
_cell_length_c 6.769
_cell_angle_alpha 90.00
_cell_angle_beta 90.00
_cell_angle_gamma 90.00
loop_
_atom_site_label
_atom_site_type_symbol
_atom_site_fract_x
_atom_site_fract_y
_atom_site_fract_z
Y1 Y 0.000 0.000 0.000
Y2 Y 0.000 0.000 0.500
Y3 Y 0.000 0.334 0.000
Zr1 Zr 0.000 0.332 0.500
Ru1 Ru 0.000 0.171 0.266
Ru2 Ru 0.000 0.500 0.261
```